Here is a relaxed structure of PuSe2S from OQMD. Energies are from PBE.

Summary:
M_tot (μB per formula unit): 4.00
Raw total energy (eV for the cell shown): -59.20
Symmetry: P2_1/m, No. 11
Crystal system: monoclinic

POSCAR file:
```
PuSe2S
1.0
-2.161 -0.299 -5.012
3.196 -2.086 -1.254
-3.845 -7.960 3.444
Pu S Se
2 2 4
direct
0.721 0.750 0.869
0.279 0.250 0.131
0.235 0.750 0.936
0.765 0.250 0.064
0.887 0.250 0.675
0.539 0.750 0.317
0.461 0.250 0.683
0.113 0.750 0.325
```

---

Here is a relaxed structure of Sm2PuS3 from OQMD. Energies are from PBE.

Summary:
M_tot (μB per formula unit): 5.76
Raw total energy (eV for the cell shown): -47.93
Symmetry: Immm, No. 71
Crystal system: orthorhombic

POSCAR file:
```
Sm2PuS3
1.0
-1.575 -6.360 -2.179
3.019 -5.500 2.882
-3.875 5.626 1.002
S Pu Sm
3 1 2
direct
0.000 0.500 0.500
0.337 0.837 0.500
0.663 0.163 0.500
0.500 0.500 0.000
0.169 0.169 0.000
0.831 0.831 0.000
```